Here is a relaxed structure of Zn13Cd from Alexandria via LeMat-Bulk. Energies are from PBE-GGA.

Cell lengths 8.675, 8.675, 8.675 Å; angles 60.00, 60.00, 60.00 degrees
Fractional positions:
Zn 0.000 0.000 0.000
Zn 0.061 0.301 0.699
Zn 0.061 0.699 0.939
Zn 0.061 0.939 0.301
Zn 0.199 0.439 0.801
Zn 0.199 0.561 0.439
Zn 0.199 0.801 0.561
Zn 0.301 0.061 0.939
Zn 0.301 0.699 0.061
Zn 0.301 0.939 0.699
Zn 0.439 0.199 0.561
Zn 0.439 0.561 0.801
Zn 0.439 0.801 0.199
Zn 0.500 0.500 0.500
Zn 0.561 0.199 0.801
Zn 0.561 0.439 0.199
Zn 0.561 0.801 0.439
Zn 0.699 0.061 0.301
Zn 0.699 0.301 0.939
Zn 0.699 0.939 0.061
Zn 0.801 0.199 0.439
Zn 0.801 0.439 0.561
Zn 0.801 0.561 0.199
Zn 0.939 0.061 0.699
Zn 0.939 0.301 0.061
Zn 0.939 0.699 0.301
Cd 0.250 0.250 0.250
Cd 0.750 0.750 0.750

Symmetry ... Fm-3c (226)
Size of the total moment ... 0.00 μB/cell
ΔH_f (0 K) ... 0.045 eV/atom

---

Here is a relaxed structure of ZnCd2 from Alexandria via LeMat-Bulk. Energies are from PBE-GGA.

Cell lengths 11.374, 2.994, 8.239 Å; angles 90.00, 118.78, 90.00 degrees
Fractional positions:
Zn 0.197 0.000 0.084
Zn 0.303 0.500 0.916
Zn 0.697 0.500 0.084
Zn 0.803 0.000 0.916
Cd 0.012 0.500 0.210
Cd 0.156 0.000 0.584
Cd 0.344 0.500 0.416
Cd 0.488 0.000 0.790
Cd 0.512 0.000 0.210
Cd 0.656 0.500 0.584
Cd 0.844 0.000 0.416
Cd 0.988 0.500 0.790

Symmetry ... C2/m (12)
Size of the total moment ... 0.00 μB/cell
ΔH_f (0 K) ... 0.051 eV/atom

---

Here is a relaxed structure of Zn2Cd from Alexandria via LeMat-Bulk. Energies are from PBE-GGA.

Cell lengths 7.869, 7.869, 3.060 Å; angles 90.00, 90.00, 120.00 degrees
Fractional positions:
Zn 0.000 0.302 0.000
Zn 0.000 0.639 0.500
Zn 0.302 0.000 0.000
Zn 0.361 0.361 0.500
Zn 0.639 0.000 0.500
Zn 0.698 0.698 0.000
Cd 0.000 0.000 0.500
Cd 0.333 0.667 0.000
Cd 0.667 0.333 0.000

Symmetry ... P-62m (189)
Size of the total moment ... 0.00 μB/cell
ΔH_f (0 K) ... 0.129 eV/atom

---

Here is a relaxed structure of Zn3Cd2 from Alexandria via LeMat-Bulk. Energies are from PBE-GGA.

Cell lengths 5.995, 5.995, 5.995 Å; angles 79.84, 79.84, 79.84 degrees
Fractional positions:
Zn 0.055 0.750 0.445
Zn 0.250 0.555 0.945
Zn 0.445 0.055 0.750
Zn 0.555 0.945 0.250
Zn 0.750 0.445 0.055
Zn 0.945 0.250 0.555
Cd 0.121 0.121 0.121
Cd 0.379 0.379 0.379
Cd 0.621 0.621 0.621
Cd 0.879 0.879 0.879

Symmetry ... R-3c (167)
Excess energy over the best structure of this formula in the dataset ... 113 meV per atom
Size of the total moment ... 0.00 μB/cell
ΔH_f (0 K) ... 0.199 eV/atom

---

Look up the ΔH_f (0 K) of the second one.
0.051 eV/atom